{
  "formula": "ZrSbSeBr2",
  "functional": "GGA-PBEsol",
  "state": "relaxed",
  "lattice": [[5.237, 0.000, 0.000], [0.000, 5.237, 0.000], [0.000, 0.000, 5.253]],
  "species": ["Zr", "Sb", "Se", "Br", "Br"],
  "fractional_positions": [[0.000, 0.000, 0.000], [0.500, 0.500, 0.500], [0.000, 0.000, 0.500], [0.000, 0.500, 0.000], [0.500, 0.000, 0.000]],
  "e_tot_ev_per_atom": -4.5909,
  "dos_ef_per_ev_cell": 4.6
}



{
  "formula": "SiSbBr2",
  "functional": "GGA-PBEsol",
  "state": "relaxed",
  "lattice": [[1.729, 0.998, 9.768], [-1.729, 0.998, 9.768], [0.000, -1.996, 9.768]],
  "species": ["Si", "Sb", "Br", "Br"],
  "fractional_positions": [[0.000, 0.000, 0.000], [0.500, 0.500, 0.500], [0.402, 0.402, 0.402], [0.598, 0.598, 0.598]],
  "e_tot_ev_per_atom": -3.3635,
  "dos_ef_per_ev_cell": 2.1,
  "polymorph_energy_mev_per_atom": 101.3
}



{
  "formula": "Si2SbBr",
  "functional": "GGA-PBEsol",
  "state": "relaxed",
  "lattice": [[5.803, -1.650, 0.000], [5.803, 1.650, 0.000], [-2.002, 0.000, 4.393]],
  "species": ["Si", "Si", "Sb", "Br"],
  "fractional_positions": [[0.000, 0.000, 0.000], [0.679, 0.679, 0.220], [0.407, 0.407, 0.411], [0.197, 0.197, 0.706]],
  "e_tot_ev_per_atom": -4.1401,
  "dos_ef_per_ev_cell": 1.7,
  "polymorph_energy_mev_per_atom": 268.7
}



{
  "formula": "Si2SbBr",
  "functional": "GGA-PBEsol",
  "state": "relaxed",
  "lattice": [[2.021, 1.167, 6.577], [-2.021, 1.167, 6.577], [0.000, -2.334, 6.577]],
  "species": ["Si", "Si", "Sb", "Br"],
  "fractional_positions": [[0.242, 0.242, 0.242], [0.758, 0.758, 0.758], [0.500, 0.500, 0.500], [0.000, 0.000, 0.000]],
  "e_tot_ev_per_atom": -4.2163,
  "dos_ef_per_ev_cell": 0.3,
  "polymorph_energy_mev_per_atom": 192.5
}



{
  "formula": "SiSbBr3",
  "functional": "GGA-PBEsol",
  "state": "relaxed",
  "lattice": [[5.113, 0.000, 0.000], [0.000, 5.113, 0.000], [0.000, 0.000, 5.113]],
  "species": ["Si", "Sb", "Br", "Br", "Br"],
  "fractional_positions": [[0.000, 0.000, 0.000], [0.500, 0.500, 0.500], [0.000, 0.000, 0.500], [0.000, 0.500, 0.000], [0.500, 0.000, 0.000]],
  "e_tot_ev_per_atom": -3.0409,
  "dos_ef_per_ev_cell": 2.7
}



{
  "formula": "Si2SbBr",
  "functional": "GGA-PBEsol",
  "state": "relaxed",
  "lattice": [[3.188, 0.000, 0.000], [0.000, 5.066, 0.000], [0.000, 0.000, 5.139]],
  "species": ["Si", "Si", "Sb", "Br"],
  "fractional_positions": [[0.000, 0.000, 0.000], [0.500, 0.500, 0.000], [0.000, 0.500, 0.500], [0.500, 0.000, 0.500]],
  "e_tot_ev_per_atom": -3.9437,
  "dos_ef_per_ev_cell": 1.9,
  "polymorph_energy_mev_per_atom": 465.1
}



{
  "formula": "Si2SbBr",
  "functional": "GGA-PBEsol",
  "state": "relaxed",
  "lattice": [[1.903, 1.099, 7.518], [-1.903, 1.099, 7.518], [0.000, -2.198, 7.518]],
  "species": ["Si", "Si", "Sb", "Br"],
  "fractional_positions": [[0.000, 0.000, 0.000], [0.282, 0.282, 0.282], [0.546, 0.546, 0.546], [0.741, 0.741, 0.741]],
  "e_tot_ev_per_atom": -4.4088,
  "dos_ef_per_ev_cell": 0.5,
  "polymorph_energy_mev_per_atom": 0.0
}



{
  "formula": "Si2SbBr",
  "functional": "GGA-PBEsol",
  "state": "relaxed",
  "lattice": [[0.000, 3.440, 3.440], [3.440, 0.000, 3.440], [3.440, 3.440, 0.000]],
  "species": ["Si", "Si", "Sb", "Br"],
  "fractional_positions": [[0.000, 0.000, 0.000], [0.250, 0.250, 0.250], [0.500, 0.500, 0.500], [0.750, 0.750, 0.750]],
  "e_tot_ev_per_atom": -3.9959,
  "dos_ef_per_ev_cell": 1.6,
  "polymorph_energy_mev_per_atom": 412.9
}